Entry 1:
Density functional theory data (PBE) for a relaxed structure of ZrGaI2F.

extended XYZ file:
```
5
Lattice="6.019 0.000 0.000 0.000 6.019 0.000 0.000 0.000 4.111" Properties=species:S:1:pos:R:3 pbc="T T T"
Zr 0.000 0.000 0.000
Ga 3.010 3.010 0.000
I 0.000 3.010 2.055
I 3.010 0.000 2.055
F 0.000 0.000 2.055
```

## Properties
volume: 29.8 Å³/atom
DFT total energy: -4.01 eV/atom
energy relative to the lowest polymorph listed for this composition: 0.000 eV per atom
formation energy from raw total energies: -3.5 eV per formula unit
size of the total moment: 2.00 μB per cell

=====

Entry 2:
Density functional theory data (PBE) for a relaxed structure of In2GaF5.

extended XYZ file:
```
16
Lattice="7.259 -2.930 0.000 7.259 2.930 0.000 -4.008 0.000 6.541" Properties=species:S:1:pos:R:3 pbc="T T T"
In 5.255 2.922 3.271
In 7.762 0.009 3.348
In 9.766 -0.009 0.077
In 7.259 -2.922 0.000
Ga 4.882 0.000 0.033
Ga 2.878 0.000 3.304
F -0.743 0.674 5.825
F 5.182 1.712 0.824
F 1.875 0.621 4.939
F 1.261 -0.674 2.555
F 4.493 0.674 4.054
F 3.879 -0.621 1.668
F 7.831 1.218 5.782
F 6.498 -0.674 0.783
F 3.178 -1.712 4.094
F 9.835 -1.218 2.512
```

## Properties
volume: 17.4 Å³/atom
DFT total energy: -4.41 eV/atom
energy relative to the lowest polymorph listed for this composition: 0.000 eV per atom
formation energy from raw total energies: -17.4 eV per formula unit
size of the total moment: 0.00 μB per cell

=====

Entry 3:
Density functional theory data (PBE) for a relaxed structure of InGa2F8.

extended XYZ file:
```
11
Lattice="6.795 0.000 0.000 -3.398 5.885 0.000 0.000 0.000 3.914" Properties=species:S:1:pos:R:3 pbc="T T T"
In 0.000 0.000 0.000
Ga 0.000 3.923 0.961
Ga 3.398 1.962 2.953
F -1.593 4.835 0.983
F 0.006 2.088 0.983
F 0.000 3.923 2.923
F 1.812 1.038 2.930
F 1.586 4.847 0.983
F 3.398 1.962 0.991
F 3.391 3.797 2.930
F 4.990 1.050 2.930
```

## Properties
volume: 14.2 Å³/atom
DFT total energy: -4.54 eV/atom
energy relative to the lowest polymorph listed for this composition: 0.000 eV per atom
formation energy from raw total energies: -26.1 eV per formula unit
size of the total moment: 0.00 μB per cell